Material: FeCo3
Method: DFT, GGA-PBE
State: optimized geometry

Calculated values
Formation enthalpy at 0 K (eV/atom): 0.526
Fermi-level density of states (states/eV per atom): 1.1130
Density (g cm⁻³): 6.5

Geometry as CIF:
```
data_FeCo3
_space_group_name_H-M_alt 'P 1'
_space_group_IT_number 1
_space_group_name_Hall 'P 1'
_cell_length_a 2.4782
_cell_length_b 7.9299
_cell_length_c 7.9299
_cell_angle_alpha 130.69
_cell_angle_beta 90.00
_cell_angle_gamma 90.00
loop_
_atom_site_label
_atom_site_fract_x
_atom_site_fract_y
_atom_site_fract_z
_atom_site_occupancy
Fe1 0.7500 0.3350 0.6650 1
Co1 0.2500 0.6300 0.9958 1
Co2 0.7500 0.9300 0.0700 1
Co3 0.2500 0.0042 0.3700 1
Co4 0.7500 0.9958 0.6300 1
Co5 0.7500 0.3700 0.0042 1
Co6 0.2500 0.0700 0.9300 1
Fe2 0.2500 0.6650 0.3350 1
```

Material: PaVZnTc
Method: DFT, GGA-PBE
State: optimized geometry

Calculated values
Formation enthalpy at 0 K (eV/atom): -0.010
Fermi-level density of states (states/eV per atom): 1.1358
Density (g cm⁻³): 11.2

Geometry as CIF:
```
data_PaVZnTc
_space_group_name_H-M_alt 'P 1'
_space_group_IT_number 1
_space_group_name_Hall 'P 1'
_cell_length_a 4.5390
_cell_length_b 4.5390
_cell_length_c 4.5390
_cell_angle_alpha 60.00
_cell_angle_beta 60.00
_cell_angle_gamma 60.00
loop_
_atom_site_label
_atom_site_fract_x
_atom_site_fract_y
_atom_site_fract_z
_atom_site_occupancy
Pa1 0.7500 0.7500 0.7500 1
V1 0.5000 0.5000 0.5000 1
Zn1 0.2500 0.2500 0.2500 1
Tc1 0.0000 0.0000 0.0000 1
```